TcSnIN2, relaxed, DFT PBE-GGA; DFT total energy = -23.621 eV for the cell shown; E above lowest polymorph = 857 meV per atom; magnetization = 5.24 μB per formula unit; ΔE_f (raw) = 1789.8 meV/atom; crystal system = tetragonal; density of states at the Fermi level = 3.19 states/eV/f.u.
1.0
-1.011 0.353 -3.948
-3.753 -1.398 0.836
-2.038 6.109 1.068
Sn N I Tc
1 2 1 1
Direct
0.000 0.000 0.000
0.500 0.000 0.000
0.000 0.500 0.000
0.000 0.000 0.500
0.500 0.500 0.500